Record 1
This record from the Alexandria database describes a relaxed Li2SiGeS4 crystal. The functional is PBE.

calculated density = 2.417 Mg/m³
calculated volume = 20.9 Å³ per atom
energy = -37.148 eV per formula unit
total moment = 0.0 Bohr magnetons per cell

```
data_Li2SiGeS4
_cell_length_a 8.814
_cell_length_b 6.460
_cell_length_c 5.860
_cell_angle_alpha 90.00
_cell_angle_beta 90.00
_cell_angle_gamma 90.00
_space_group_name_H-M_alt 'P 1'
_space_group_IT_number 1
loop_
_space_group_symop_operation_xyz
'x,y,z'
loop_
_atom_site_label
_atom_site_fract_x
_atom_site_fract_y
_atom_site_fract_z
Li1 0.249 0.185 0.000
Li2 0.251 0.815 0.500
Li3 0.749 0.815 0.500
Li4 0.751 0.185 0.000
Si1 0.000 0.339 0.517
Si2 0.500 0.661 0.017
Ge1 0.000 0.707 0.987
Ge2 0.500 0.293 0.487
S1 0.000 0.344 0.889
S2 0.000 0.658 0.407
S3 0.204 0.190 0.417
S4 0.296 0.810 0.917
S5 0.500 0.342 0.907
S6 0.500 0.656 0.389
S7 0.704 0.810 0.917
S8 0.796 0.190 0.417
```

---

Record 2
This record from the Alexandria database describes a relaxed Sr3Mo crystal. The functional is PBE.

calculated density = 3.889 Mg/m³
energy of formation = 0.954 eV/atom
calculated volume = 38.3 Å³ per atom
energy = -12.061 eV per formula unit
total moment = 3.4 Bohr magnetons per cell

```
data_Sr3Mo
_cell_length_a 6.939
_cell_length_b 6.939
_cell_length_c 6.939
_cell_angle_alpha 116.74
_cell_angle_beta 116.74
_cell_angle_gamma 116.74
_space_group_name_H-M_alt 'P 1'
_space_group_IT_number 1
loop_
_space_group_symop_operation_xyz
'x,y,z'
loop_
_atom_site_label
_atom_site_fract_x
_atom_site_fract_y
_atom_site_fract_z
Sr1 0.000 0.500 0.500
Sr2 0.500 0.000 0.500
Sr3 0.500 0.500 0.000
Mo1 0.000 0.000 0.000
```

---

Record 3
This record from the Alexandria database describes a relaxed UHg8Br6 crystal. The functional is PBE.

calculated density = 6.769 Mg/m³
calculated volume = 38.0 Å³ per atom
energy = -31.810 eV per formula unit
total moment = 1.4 Bohr magnetons per cell

```
data_UHg8Br6
_cell_length_a 10.834
_cell_length_b 10.834
_cell_length_c 10.834
_cell_angle_alpha 44.57
_cell_angle_beta 44.57
_cell_angle_gamma 44.57
_space_group_name_H-M_alt 'P 1'
_space_group_IT_number 1
loop_
_space_group_symop_operation_xyz
'x,y,z'
loop_
_atom_site_label
_atom_site_fract_x
_atom_site_fract_y
_atom_site_fract_z
U1 0.000 0.000 0.000
Hg1 0.146 0.477 0.814
Hg2 0.186 0.854 0.523
Hg3 0.419 0.419 0.419
Hg4 0.477 0.814 0.146
Hg5 0.523 0.186 0.854
Hg6 0.581 0.581 0.581
Hg7 0.814 0.146 0.477
Hg8 0.854 0.523 0.186
Br1 0.034 0.166 0.640
Br2 0.166 0.640 0.034
Br3 0.360 0.966 0.834
Br4 0.640 0.034 0.166
Br5 0.834 0.360 0.966
Br6 0.966 0.834 0.360
```

---

Record 4
This record from the Alexandria database describes a relaxed TaCdSe2 crystal. The functional is PBE.

calculated density = 8.529 Mg/m³
calculated volume = 22.0 Å³ per atom
energy = -18.541 eV per formula unit
total moment = 1.3 Bohr magnetons per cell

```
data_TaCdSe2
_cell_length_a 6.732
_cell_length_b 6.732
_cell_length_c 6.732
_cell_angle_alpha 147.48
_cell_angle_beta 147.48
_cell_angle_gamma 46.65
_space_group_name_H-M_alt 'P 1'
_space_group_IT_number 1
loop_
_space_group_symop_operation_xyz
'x,y,z'
loop_
_atom_site_label
_atom_site_fract_x
_atom_site_fract_y
_atom_site_fract_z
Ta1 0.000 0.000 0.000
Cd1 0.250 0.750 0.500
Se1 0.500 0.500 0.000
Se2 0.750 0.250 0.500
```